--- P ---
{"formula": "Pr3HoGa4", "functional": "PBE", "state": "optimized geometry", "lattice": [[-2.256, 1.684, -2.367], [-2.518, 0.363, 2.657], [5.828, 13.062, 3.739]], "species": ["Pr", "Pr", "Pr", "Ho", "Ga", "Ga", "Ga", "Ga"], "fractional_positions": [[0.500, 0.500, 0.243], [0.500, 0.500, 0.500], [0.500, 0.500, 0.757], [0.500, 0.500, 0.000], [0.000, 0.000, 0.889], [0.000, 0.000, 0.111], [0.000, 0.000, 0.371], [0.000, 0.000, 0.629]]}

***

--- Q ---
{"formula": "Pr3HoGa4", "functional": "PBE", "state": "optimized geometry", "lattice": [[3.800, 0.000, 0.000], [0.000, 6.816, -0.802], [-1.900, -2.411, 8.848]], "species": ["Pr", "Pr", "Pr", "Ho", "Ga", "Ga", "Ga", "Ga"], "fractional_positions": [[0.000, 0.500, 0.000], [0.202, 0.202, 0.404], [0.798, 0.798, 0.596], [0.500, 0.000, 0.000], [0.373, 0.566, 0.746], [0.627, 0.434, 0.254], [0.627, 0.820, 0.254], [0.373, 0.180, 0.746]]}

***

Energetically preferred structure: P | next structure: +134 meV/atom